# NpCo2GeO8 GGA+U relaxed
data_NpCo2GeO8
_chemical_formula_sum 'Np2 Co4 Ge2 O16'
_cell_length_a 6.3850
_cell_length_b 6.3850
_cell_length_c 6.9949
_cell_angle_alpha 90.00
_cell_angle_beta 90.00
_cell_angle_gamma 90.00
_space_group_name_H-M_alt 'I -4 m 2'
_space_group_IT_number 119
_space_group_name_Hall 'I -4 -2'
loop_
_atom_site_label
_atom_site_fract_x
_atom_site_fract_y
_atom_site_fract_z
Np1 0.0000 0.0000 0.0000
Co1 0.0000 0.0000 0.5000
Co2 0.0000 0.5000 0.7500
Ge1 0.0000 0.5000 0.2500
O1 0.0000 0.2114 0.3114
O2 0.0000 0.2993 0.9491
# - final energy (eV/cell) = -170.08